(1)
Entry from Alexandria: a relaxed structure of HfMgNbTc2 (PBE).

Space-group type   P4/mmm
DOS(E_F)   7.44 states/eV/cell
Energy of formation from the pure elements   1255 meV per atom
Total magnetic moment   0.00 μB per formula unit

Cell: 4.686 4.686 4.878 Å, 90.00 90.00 90.00°
Fractional positions:
Hf1 0.000 0.000 0.000
Mg1 0.500 0.500 0.000
Nb1 0.500 0.500 0.500
Tc1 0.000 0.500 0.500
Tc2 0.500 0.000 0.500

(2)
Entry from Alexandria: a relaxed structure of Li2IrW (PBE).

Space-group type   F-43m
DOS(E_F)   12.79 states/eV/cell
Energy of formation from the pure elements   -16 meV per atom
Total magnetic moment   0.00 μB per formula unit

Cell: 6.020 6.020 6.020 Å, 90.00 90.00 90.00°
Fractional positions:
Li1 0.000 0.000 0.000
Li2 0.000 0.500 0.500
Li3 0.250 0.250 0.250
Li4 0.250 0.750 0.750
Li5 0.500 0.000 0.500
Li6 0.500 0.500 0.000
Li7 0.750 0.250 0.750
Li8 0.750 0.750 0.250
Ir1 0.250 0.250 0.750
Ir2 0.250 0.750 0.250
Ir3 0.750 0.250 0.250
Ir4 0.750 0.750 0.750
W1 0.000 0.000 0.500
W2 0.000 0.500 0.000
W3 0.500 0.000 0.000
W4 0.500 0.500 0.500

(3)
Entry from Alexandria: a relaxed structure of Li2PIr (PBE).

Space-group type   Amm2
DOS(E_F)   4.12 states/eV/cell
Energy of formation from the pure elements   -390 meV per atom
Total magnetic moment   0.00 μB per formula unit

Cell: 4.020 2.881 9.854 Å, 90.00 90.00 90.00°
Fractional positions:
Li1 0.000 0.000 0.000
Li2 0.000 0.500 0.500
Li3 0.500 0.000 0.351
Li4 0.500 0.500 0.851
P1 0.500 0.000 0.621
P2 0.500 0.500 0.121
Ir1 0.000 0.000 0.728
Ir2 0.000 0.500 0.228